Record 1
VASP calculation (PBE-GGA) on crystalline NbMoOs at its relaxed geometry.

Cell and atoms, written as CIF:
```
data_NbMoOs
_symmetry_space_group_name_H-M 'I 4 m m'
_symmetry_Int_Tables_number 107
_symmetry_space_group_name_Hall 'I 4 -2'
_cell_length_a 3.191
_cell_length_b 3.191
_cell_length_c 9.517
_cell_angle_alpha 90.00
_cell_angle_beta 90.00
_cell_angle_gamma 90.00
loop_
_atom_site_label
_atom_site_type_symbol
_atom_site_fract_x
_atom_site_fract_y
_atom_site_fract_z
Nb1 Nb 0.000 0.000 0.000
Mo1 Mo 0.000 0.000 0.664
Os1 Os 0.000 0.000 0.333
```

Results
ΔE_f	0.024	eV per atom
electronic total energy	-10.6859	eV/atom
DOS(E_F)	2.1	states/eV/f.u.
magnetic moment	0.0	μB/cell

=====

Record 2
VASP calculation (PBE-GGA) on crystalline Nb2MoOs2 at its relaxed geometry.

Cell and atoms, written as CIF:
```
data_Nb2MoOs2
_symmetry_space_group_name_H-M 'P 4/m b m'
_symmetry_Int_Tables_number 127
_symmetry_space_group_name_Hall '-P 4 2ab'
_cell_length_a 7.469
_cell_length_b 7.469
_cell_length_c 3.029
_cell_angle_alpha 90.00
_cell_angle_beta 90.00
_cell_angle_gamma 90.00
loop_
_atom_site_label
_atom_site_type_symbol
_atom_site_fract_x
_atom_site_fract_y
_atom_site_fract_z
Nb1 Nb 0.165 0.335 0.000
Mo1 Mo 0.000 0.000 0.500
Os1 Os 0.136 0.636 0.500
```

Results
ΔE_f	0.156	eV per atom
electronic total energy	-10.5304	eV/atom
DOS(E_F)	4.8	states/eV/f.u.
magnetic moment	0.0	μB/cell

=====

Record 3
VASP calculation (PBE-GGA) on crystalline Nb2Mo2Os at its relaxed geometry.

Cell and atoms, written as CIF:
```
data_Nb2Mo2Os
_symmetry_space_group_name_H-M 'C 1 2/c 1'
_symmetry_Int_Tables_number 15
_cell_length_a 12.664
_cell_length_b 5.109
_cell_length_c 5.297
_cell_angle_alpha 90.00
_cell_angle_beta 100.12
_cell_angle_gamma 90.00
loop_
_symmetry_equiv_pos_as_xyz
'x,y,z'
'-x,-y,-z'
'-x,y,-z+1/2'
'x,-y,z+1/2'
'x+1/2,y+1/2,z'
'-x+1/2,-y+1/2,-z'
'-x+1/2,y+1/2,-z+1/2'
'x+1/2,-y+1/2,z+1/2'
loop_
_atom_site_label
_atom_site_type_symbol
_atom_site_fract_x
_atom_site_fract_y
_atom_site_fract_z
Nb1 Nb 0.104 0.093 0.106
Mo1 Mo 0.191 0.391 0.631
Os1 Os 0.000 0.435 0.750
```

Results
ΔE_f	0.217	eV per atom
electronic total energy	-10.3895	eV/atom
DOS(E_F)	5.2	states/eV/f.u.
magnetic moment	0.0	μB/cell

=====

Record 4
VASP calculation (PBE-GGA) on crystalline NbMo2Os at its relaxed geometry.

Cell and atoms, written as CIF:
```
data_NbMo2Os
_symmetry_space_group_name_H-M 'P 4/m m m'
_symmetry_Int_Tables_number 123
_symmetry_space_group_name_Hall '-P 4 2'
_cell_length_a 4.502
_cell_length_b 4.502
_cell_length_c 3.153
_cell_angle_alpha 90.00
_cell_angle_beta 90.00
_cell_angle_gamma 90.00
loop_
_atom_site_label
_atom_site_type_symbol
_atom_site_fract_x
_atom_site_fract_y
_atom_site_fract_z
Nb1 Nb 0.000 0.000 0.000
Mo1 Mo 0.000 0.500 0.500
Os1 Os 0.500 0.500 0.000
```

Results
ΔE_f	0.020	eV per atom
electronic total energy	-10.7202	eV/atom
DOS(E_F)	3.8	states/eV/f.u.
magnetic moment	0.0	μB/cell

=====

Record 5
VASP calculation (PBE-GGA) on crystalline Nb3Mo2Os2 at its relaxed geometry.

Cell and atoms, written as CIF:
```
data_Nb3Mo2Os2
_symmetry_space_group_name_H-M 'C 1 2/m 1'
_symmetry_Int_Tables_number 12
_cell_length_a 7.827
_cell_length_b 4.524
_cell_length_c 6.973
_cell_angle_alpha 90.00
_cell_angle_beta 112.02
_cell_angle_gamma 90.00
loop_
_symmetry_equiv_pos_as_xyz
'x,y,z'
'-x,-y,-z'
'-x,y,-z'
'x,-y,z'
'x+1/2,y+1/2,z'
'-x+1/2,-y+1/2,-z'
'-x+1/2,y+1/2,-z'
'x+1/2,-y+1/2,z'
loop_
_atom_site_label
_atom_site_type_symbol
_atom_site_fract_x
_atom_site_fract_y
_atom_site_fract_z
Nb1 Nb 0.000 0.000 0.000
Nb2 Nb 0.070 0.500 0.709
Mo1 Mo 0.216 0.500 0.147
Os1 Os 0.139 0.000 0.417
```

Results
ΔE_f	-0.073	eV per atom
electronic total energy	-10.6921	eV/atom
DOS(E_F)	7.5	states/eV/f.u.
magnetic moment	0.0	μB/cell

=====

Record 6
VASP calculation (PBE-GGA) on crystalline Nb2MoOs at its relaxed geometry.

Cell and atoms, written as CIF:
```
data_Nb2MoOs
_symmetry_space_group_name_H-M 'I m m m'
_symmetry_Int_Tables_number 71
_symmetry_space_group_name_Hall '-I 2 2'
_cell_length_a 2.843
_cell_length_b 4.805
_cell_length_c 10.426
_cell_angle_alpha 90.00
_cell_angle_beta 90.00
_cell_angle_gamma 90.00
loop_
_atom_site_label
_atom_site_type_symbol
_atom_site_fract_x
_atom_site_fract_y
_atom_site_fract_z
Nb1 Nb 0.000 0.000 0.238
Mo1 Mo 0.000 0.000 0.500
Os1 Os 0.000 0.000 0.000
```

Results
ΔE_f	0.685	eV per atom
electronic total energy	-9.8650	eV/atom
DOS(E_F)	4.1	states/eV/f.u.
magnetic moment	0.0	μB/cell

=====

Record 7
VASP calculation (PBE-GGA) on crystalline NbMoOs at its relaxed geometry.

Cell and atoms, written as CIF:
```
data_NbMoOs
_symmetry_space_group_name_H-M 'I 4 m m'
_symmetry_Int_Tables_number 107
_symmetry_space_group_name_Hall 'I 4 -2'
_cell_length_a 2.642
_cell_length_b 2.642
_cell_length_c 15.090
_cell_angle_alpha 90.00
_cell_angle_beta 90.00
_cell_angle_gamma 90.00
loop_
_atom_site_label
_atom_site_type_symbol
_atom_site_fract_x
_atom_site_fract_y
_atom_site_fract_z
Nb1 Nb 0.000 0.000 0.000
Mo1 Mo 0.000 0.000 0.342
Os1 Os 0.000 0.000 0.175
```

Results
ΔE_f	0.831	eV per atom
electronic total energy	-9.8797	eV/atom
DOS(E_F)	3.5	states/eV/f.u.
magnetic moment	0.0	μB/cell

=====

Record 8
VASP calculation (PBE-GGA) on crystalline NbMoOs2 at its relaxed geometry.

Cell and atoms, written as CIF:
```
data_NbMoOs2
_symmetry_space_group_name_H-M 'I -4 2 d'
_symmetry_Int_Tables_number 122
_symmetry_space_group_name_Hall 'I -4 2bw'
_cell_length_a 5.754
_cell_length_b 5.754
_cell_length_c 11.384
_cell_angle_alpha 90.00
_cell_angle_beta 90.00
_cell_angle_gamma 90.00
loop_
_atom_site_label
_atom_site_type_symbol
_atom_site_fract_x
_atom_site_fract_y
_atom_site_fract_z
Nb1 Nb 0.000 0.000 0.000
Mo1 Mo 0.000 0.000 0.500
Os1 Os 0.237 0.250 0.625
```

Results
ΔE_f	1.404	eV per atom
electronic total energy	-9.4361	eV/atom
DOS(E_F)	4.0	states/eV/f.u.
magnetic moment	0.0	μB/cell

=====

Record 9
VASP calculation (PBE-GGA) on crystalline NbMoOs4 at its relaxed geometry.

Cell and atoms, written as CIF:
```
data_NbMoOs4
_symmetry_space_group_name_H-M 'C m c m'
_symmetry_Int_Tables_number 63
_symmetry_space_group_name_Hall '-C 2c 2'
_cell_length_a 5.557
_cell_length_b 15.242
_cell_length_c 4.383
_cell_angle_alpha 90.00
_cell_angle_beta 90.00
_cell_angle_gamma 90.00
loop_
_atom_site_label
_atom_site_type_symbol
_atom_site_fract_x
_atom_site_fract_y
_atom_site_fract_z
Nb1 Nb 0.000 0.121 0.250
Mo1 Mo 0.000 0.369 0.750
Os1 Os 0.244 0.458 0.250
Os2 Os 0.248 0.208 0.750
```

Results
ΔE_f	0.078	eV per atom
electronic total energy	-10.8915	eV/atom
DOS(E_F)	4.9	states/eV/f.u.
magnetic moment	0.0	μB/cell

=====

Record 10
VASP calculation (PBE-GGA) on crystalline Nb3MoOs2 at its relaxed geometry.

Cell and atoms, written as CIF:
```
data_Nb3MoOs2
_symmetry_space_group_name_H-M 'C m m m'
_symmetry_Int_Tables_number 65
_symmetry_space_group_name_Hall '-C 2 2'
_cell_length_a 4.528
_cell_length_b 13.602
_cell_length_c 3.199
_cell_angle_alpha 90.00
_cell_angle_beta 90.00
_cell_angle_gamma 90.00
loop_
_atom_site_label
_atom_site_type_symbol
_atom_site_fract_x
_atom_site_fract_y
_atom_site_fract_z
Nb1 Nb 0.000 0.000 0.000
Nb2 Nb 0.000 0.336 0.000
Mo1 Mo 0.000 0.500 0.500
Os1 Os 0.000 0.168 0.500
```

Results
ΔE_f	-0.215	eV per atom
electronic total energy	-10.7987	eV/atom
DOS(E_F)	2.8	states/eV/f.u.
magnetic moment	0.0	μB/cell

=====

Record 11
VASP calculation (PBE-GGA) on crystalline Nb2MoOs at its relaxed geometry.

Cell and atoms, written as CIF:
```
data_Nb2MoOs
_symmetry_space_group_name_H-M 'I -4 2 d'
_symmetry_Int_Tables_number 122
_symmetry_space_group_name_Hall 'I -4 2bw'
_cell_length_a 5.843
_cell_length_b 5.843
_cell_length_c 11.534
_cell_angle_alpha 90.00
_cell_angle_beta 90.00
_cell_angle_gamma 90.00
loop_
_atom_site_label
_atom_site_type_symbol
_atom_site_fract_x
_atom_site_fract_y
_atom_site_fract_z
Nb1 Nb 0.245 0.250 0.125
Mo1 Mo 0.000 0.000 0.500
Os1 Os 0.000 0.000 0.000
```

Results
ΔE_f	1.879	eV per atom
electronic total energy	-8.6713	eV/atom
DOS(E_F)	3.8	states/eV/f.u.
magnetic moment	0.0	μB/cell

=====

Record 12
VASP calculation (PBE-GGA) on crystalline Nb4MoOs at its relaxed geometry.

Cell and atoms, written as CIF:
```
data_Nb4MoOs
_symmetry_space_group_name_H-M 'R -3 m'
_symmetry_Int_Tables_number 166
_symmetry_space_group_name_Hall '-R 3 2"'
_cell_length_a 4.4131
_cell_length_b 4.4131
_cell_length_c 21.4802
_cell_angle_alpha 90.00
_cell_angle_beta 90.00
_cell_angle_gamma 120.00
loop_
_atom_site_label
_atom_site_type_symbol
_atom_site_fract_x
_atom_site_fract_y
_atom_site_fract_z
Nb1 Nb 0.0000 0.0000 0.1251
Nb2 Nb 0.0000 0.0000 0.3744
Mo1 Mo 0.0000 0.0000 0.5000
Os1 Os 0.0000 0.0000 0.0000
```

Results
ΔE_f	0.405	eV per atom
electronic total energy	-9.9847	eV/atom
DOS(E_F)	4.9	states/eV/f.u.
magnetic moment	0.0	μB/cell